1.
The following is a DFT calculation (PBE) of crystalline BaPaZnP3 at its relaxed geometry.

a b c (Å): 4.1283 8.6687 9.1878
angles (deg): 105.56 90.00 90.00
Closest atoms and distances in Å follow each position.
Fractional coordinates of all 12 atoms:
P: 0.7500 0.8792 0.1338  1 Zn 2.40
P: 0.2500 0.5386 0.8478  3 Pa 2.77-2.78
P: 0.7500 0.2081 0.5297  3 Zn 2.47-2.52
P: 0.2500 0.1208 0.8662  1 Zn 2.40
P: 0.7500 0.4614 0.1522  3 Pa 2.77-2.78
P: 0.2500 0.7919 0.4703  3 Zn 2.47-2.52
Pa: 0.2500 0.6759 0.1577  6 P 2.76-2.78
Pa: 0.7500 0.3241 0.8423  6 P 2.76-2.78
Zn: 0.2500 0.0876 0.5981  4 P 2.40-2.52
Zn: 0.7500 0.9124 0.4019  4 P 2.40-2.52
Ba: 0.2500 0.1977 0.2401  7 P 3.32-3.38, 1 Zn 3.66
Ba: 0.7500 0.8023 0.7599  7 P 3.32-3.38, 1 Zn 3.66

## Properties
Calculated total energy, eV/cell: -68.81

2.
The following is a DFT calculation (PBE) of crystalline BaP4Pb at its relaxed geometry.

a b c (Å): 5.8521 5.8521 5.8521
angles (deg): 60.00 60.00 60.00
Closest atoms and distances in Å follow each position.
Fractional coordinates of all 6 atoms:
P: 0.4000 0.8001 0.4000  3 P 2.34
P: 0.8001 0.4000 0.4000  3 P 2.34
P: 0.4000 0.4000 0.4000  3 P 2.34
P: 0.4000 0.4000 0.8001  3 P 2.34
Pb: 0.7500 0.7500 0.7500  12 P 3.39, 4 Ba 3.58
Ba: 0.0000 0.0000 0.0000  12 P 3.51, 4 Pb 3.58

## Properties
Calculated total energy, eV/cell: -27.49

3.
The following is a DFT calculation (PBE) of crystalline Ba3P2Pd4Pb2 at its relaxed geometry.

a b c (Å): 4.3776 4.3776 18.0331
angles (deg): 90.00 90.00 120.00
Closest atoms and distances in Å follow each position.
Fractional coordinates of all 11 atoms:
Ba: 0.0000 0.0000 0.0000  6 Pd 3.44, 6 P 3.45
Ba: 0.0000 0.0000 0.7472  3 P 3.36, 6 Pd 3.37-3.47
Ba: 0.0000 0.0000 0.2528  3 P 3.36, 6 Pd 3.37-3.47
P: 0.6667 0.3333 0.8696  3 Pd 2.53
P: 0.3333 0.6667 0.1304  3 Pd 2.53
Pd: 0.6667 0.3333 0.1293  3 P 2.53
Pd: 0.3333 0.6667 0.3844  3 Pb 2.70
Pd: 0.6667 0.3333 0.6156  3 Pb 2.70
Pd: 0.3333 0.6667 0.8707  3 P 2.53
Pb: 0.6667 0.3333 0.4378  3 Pd 2.70
Pb: 0.3333 0.6667 0.5622  3 Pd 2.70

## Properties
Calculated total energy, eV/cell: -51.59

4.
The following is a DFT calculation (PBE) of crystalline BaPPd3Pb at its relaxed geometry.

a b c (Å): 6.5096 7.1343 7.4616
angles (deg): 118.56 90.00 90.00
Closest atoms and distances in Å follow each position.
Fractional coordinates of all 12 atoms:
Ba: 0.2500 0.7525 0.5049  4 Pd 3.26-3.57
Ba: 0.7500 0.2475 0.4951  4 Pd 3.26-3.57
Pd: 0.7500 0.7607 0.5214  1 P 2.24
Pd: 0.5000 0.1954 0.0000  2 P 2.32
Pd: 0.2500 0.2393 0.4786  1 P 2.24
Pd: 0.0000 0.1954 0.0000  2 P 2.32
Pd: 0.0000 0.8046 0.0000  2 P 2.32
Pd: 0.5000 0.8046 0.0000  2 P 2.32
Pb: 0.2500 0.4434 0.8869  5 Pd 2.68-2.81
Pb: 0.7500 0.5566 0.1131  5 Pd 2.68-2.81
P: 0.2500 0.0683 0.1366  5 Pd 2.24-2.32
P: 0.7500 0.9317 0.8634  5 Pd 2.24-2.32

## Properties
Calculated total energy, eV/cell: -59.72

5.
The following is a DFT calculation (PBE) of crystalline Ba2PPd6Pb at its relaxed geometry.

a b c (Å): 6.5798 7.2752 7.2694
angles (deg): 53.75 63.22 90.01
Closest atoms and distances in Å follow each position.
Fractional coordinates of all 10 atoms:
Pd: 0.7395 0.2626 0.0868  1 P 2.34
Pd: 0.1727 0.2619 0.0884  1 P 2.34
Pd: 0.7384 0.8275 0.5230  1 P 2.34
Pd: 0.2616 0.1725 0.4770  1 P 2.34
Pd: 0.2605 0.7374 0.9132  1 P 2.34
Pd: 0.8273 0.7381 0.9116  1 P 2.34
Ba: 0.7209 0.2779 0.5578  10 Pd 3.43-3.84
Ba: 0.2791 0.7221 0.4422  10 Pd 3.43-3.84
P: 0.5000 0.5000 0.0000  6 Pd 2.34
Pb: 0.0000 0.0000 0.0000  6 Pd 2.73

## Properties
Calculated total energy, eV/cell: -50.06

6.
The following is a DFT calculation (PBE) of crystalline Ba2PPdPb at its relaxed geometry.

a b c (Å): 6.3161 6.3161 4.4441
angles (deg): 90.00 90.00 90.00
Closest atoms and distances in Å follow each position.
Fractional coordinates of all 5 atoms:
Ba: 0.5000 0.0000 0.0000  2 P 3.16
Ba: 0.0000 0.5000 0.0000  2 P 3.16
Pd: 0.0000 0.0000 0.5000  2 P 2.22
P: 0.0000 0.0000 0.0000  2 Pd 2.22
Pb: 0.5000 0.5000 0.5000  8 Ba 3.86

## Properties
Calculated total energy, eV/cell: -20.93